Ac2SiBr2: relaxed, PBE.

The structure in POSCAR format:
```
Ac2SiBr2
1.0
11.5494 0.0000 0.0000
0.0000 9.0319 0.0000
-2.7338 0.0000 7.5438
Ac Si Br
8 4 8
Cartesian
-0.5283 1.1013 1.6691
-1.8953 3.4146 5.4410
1.7672 1.1714 5.6740
3.1341 3.3445 1.9021
5.6815 5.6874 5.6418
7.0484 7.8604 1.8699
10.7108 5.6172 2.1028
9.3439 7.9306 5.8748
-0.7807 1.3176 7.3794
0.5863 3.1983 3.6075
8.2293 5.8335 3.9363
9.5962 7.7143 0.1644
1.8528 5.5854 0.0640
0.4858 7.9624 3.8360
4.3367 6.3672 2.8679
2.9697 7.1806 6.6399
5.8458 1.8512 0.9040
4.4789 2.6647 4.6759
8.3297 1.0694 3.7079
6.9628 3.4465 7.4798
```

The total magnetization comes out at 0.00 Bohr magnetons per cell. The formation energy from raw total energies comes out at -1.239 eV per atom. Its distance to the lowest polymorph of the same formula is 0.1528 eV per atom. Its total energy is -23.18 eV per formula unit. The space-group type is No. 14.